Entry 1:
## Na2TiInCl6 (PBE)

Data for Na2TiInCl6 after structural relaxation.

```
Na2TiInCl6
1.0
7.0146 0.0000 0.0000
3.5031 6.0828 0.0000
3.5021 2.0327 6.4125
Na Ti In Cl
2 1 1 6
Cartesian
0.0000 0.0000 0.0000
7.0027 4.0482 3.5834
10.5102 6.0824 3.7519
3.4973 2.0256 0.9330
5.5465 6.0870 5.0619
4.6105 4.4903 2.2314
5.9968 1.7779 5.0845
8.5771 5.9086 2.2261
9.4764 4.3244 5.0831
7.8143 1.7621 2.2228
```

The space group is P1. The formation energy without anion corrections is -1.497 eV per atom.

***

Entry 2:
## Na2NpNiAs2 (PBE)

Data for Na2NpNiAs2 after structural relaxation.

```
Na2NpNiAs2
1.0
4.2852 0.0000 0.0000
0.0000 8.2947 0.0000
0.0000 0.0000 7.0140
Na Np Ni As
4 2 2 4
Cartesian
0.0000 0.8145 0.0000
0.0000 7.4802 3.5070
2.1426 1.1562 2.3927
2.1426 7.1385 5.8997
2.1426 3.8998 0.0501
2.1426 4.3949 3.5571
0.0000 2.8404 4.5262
0.0000 5.4543 1.0192
0.0000 3.1565 1.9710
0.0000 5.1382 5.4780
2.1426 1.7113 5.1832
2.1426 6.5833 1.6762
```

The energy relative to the elements is -9.70 kcal/mol of atoms. The space group is Pmc2_1.

***

Entry 3:
## DyHo2ErS4 (PBE)

Data for DyHo2ErS4 after structural relaxation.

```
DyHo2ErS4
1.0
6.7416 0.0000 0.0000
0.0000 3.8521 0.0000
-2.2088 0.0000 6.3797
Dy Ho Er S
1 2 1 4
Cartesian
0.0000 0.0000 0.0000
2.2664 0.0000 3.1899
3.3708 1.9261 0.0000
-1.1044 1.9261 3.1899
0.0287 0.0000 4.7719
1.1334 1.9261 1.6080
3.3994 1.9261 4.7717
4.5041 0.0000 1.6078
```

The space group is P2/m. The formation energy without anion corrections is -1.971 eV per atom.

***

Entry 4:
## Pm2ScIr (PBE)

Data for Pm2ScIr after structural relaxation.

```
Pm2ScIr
1.0
1.6530 0.9543 10.9938
-1.6530 0.9543 10.9938
0.0000 -1.9087 10.9938
Pm Sc Ir
2 1 1
Cartesian
0.0000 0.0000 2.6411
0.0000 0.0000 30.3404
0.0000 0.0000 16.4908
0.0000 0.0000 0.0000
```

The energy relative to the elements is 9.45 kcal/mol of atoms. Its energy above the most stable polymorph in this dataset is 0.781 eV per atom. The space group is R-3m.

***

Entry 5:
## LiGaSe2N (PBE)

Data for LiGaSe2N after structural relaxation.

```
LiGaSe2N
1.0
4.8712 0.0000 0.0000
0.0000 4.8712 0.0000
0.0000 0.0000 3.6316
Li Ga Se N
1 1 2 1
Cartesian
0.0000 0.0000 0.0000
2.4356 2.4356 1.8158
0.0000 2.4356 0.0000
2.4356 0.0000 0.0000
0.0000 0.0000 1.8158
```

Its energy above the most stable polymorph in this dataset is 0.449 eV per atom. The space group is P4/mmm. The formation energy without anion corrections is 0.784 eV per atom.

***

Entry 6:
## LaCrCl2 (PBE)

Data for LaCrCl2 after structural relaxation.

```
LaCrCl2
1.0
7.4231 -2.1467 0.0000
7.4231 2.1467 0.0000
-0.9156 0.0000 3.6089
La Cr Cl
1 1 2
Cartesian
0.0000 0.0000 0.0000
8.2616 0.0000 2.1336
1.9074 0.0000 2.4031
5.7867 0.0000 1.5061
```

Its energy above the most stable polymorph in this dataset is 0.112 eV per atom. The space group is Cm. The formation energy without anion corrections is -0.770 eV per atom.

***

Entry 7:
## AcLa4Pr3Te8 (PBE)

Data for AcLa4Pr3Te8 after structural relaxation.

```
AcLa4Pr3Te8
1.0
4.5922 2.6513 7.4646
-4.5922 2.6513 7.4646
0.0000 -5.3027 7.4646
Ac La Pr Te
1 4 3 8
Cartesian
0.0000 0.0000 0.0000
-4.5922 0.0000 11.1969
-2.2961 1.3257 3.7323
2.2961 1.3257 3.7323
0.0000 0.0000 11.1969
-2.2961 -1.3257 7.4646
-2.2961 1.3257 14.9292
0.0000 2.6513 7.4646
0.0000 0.0000 5.6125
0.0000 -2.6089 9.3440
-2.2593 1.3044 9.3440
-2.2593 -1.3044 13.0498
2.2593 1.3044 9.3440
2.2593 -1.3044 13.0498
0.0000 2.6089 13.0498
0.0000 0.0000 16.7813
```

The space group is R-3m. The formation energy without anion corrections is -1.521 eV per atom.

***

Entry 8:
## Li2TeIr (PBE)

Data for Li2TeIr after structural relaxation.

```
Li2TeIr
1.0
-4.9650 4.9650 2.4475
4.9650 -4.9650 2.4475
4.9650 4.9650 -2.4475
Li Te Ir
4 2 2
Cartesian
0.0296 2.4825 0.6119
-2.4825 4.9355 1.8356
-0.0296 7.4476 0.6119
2.4825 4.9946 1.8356
4.9650 0.0000 1.2238
0.0000 0.0000 2.4475
0.0000 0.0000 0.0000
0.0000 4.9650 1.2238
```

The space group is I-42d. The formation energy without anion corrections is -0.058 eV per atom.

***

Question: Which formula does entry 1 have?
Answer: Na2TiInCl6

***

Question: Which formula does entry 5 have?
Answer: LiGaSe2N